--- A ---
Entry from Alexandria via LeMat-Bulk: a PBEsol-optimized structure of BaCrMo2 (meta-GGA SCAN).

abc: 9.578 9.578 9.578
angles: 18.27 18.27 18.27
Sites, in units of the cell vectors:
Ba  0.000  0.000  0.000
Cr  0.500  0.500  0.500
Mo  0.228  0.228  0.228
Mo  0.772  0.772  0.772

--- B ---
Entry from Alexandria via LeMat-Bulk: a PBEsol-optimized structure of BaCrMo2 (meta-GGA SCAN).

abc: 4.456 4.456 6.651
angles: 109.86 109.86 50.69
Sites, in units of the cell vectors:
Ba  0.000  0.000  0.000
Cr  0.500  0.500  0.500
Mo  0.185  0.185  0.579
Mo  0.815  0.815  0.421

The most stable arrangement is B, and the next structure is 279 meV per atom less stable.

--- A ---
Entry from Alexandria via LeMat-Bulk: a PBEsol-optimized structure of Ba2CrPt (meta-GGA SCAN).

abc: 5.293 5.293 5.293
angles: 60.00 60.00 60.00
Sites, in units of the cell vectors:
Ba  0.000  0.000  0.000
Ba  0.250  0.250  0.250
Cr  0.750  0.750  0.750
Pt  0.500  0.500  0.500

--- B ---
Entry from Alexandria via LeMat-Bulk: a PBEsol-optimized structure of Ba2CrPt (meta-GGA SCAN).

abc: 5.375 5.375 4.038
angles: 90.00 90.00 90.00
Sites, in units of the cell vectors:
Ba  0.000  0.500  0.000
Ba  0.500  0.000  0.000
Cr  0.000  0.000  0.500
Pt  0.500  0.500  0.500

--- C ---
Entry from Alexandria via LeMat-Bulk: a PBEsol-optimized structure of Ba2CrPt (meta-GGA SCAN).

abc: 7.719 7.719 7.719
angles: 147.28 145.12 48.57
Sites, in units of the cell vectors:
Ba  0.000  0.000  0.000
Ba  0.745  0.245  0.500
Cr  0.324  0.824  0.500
Pt  0.408  0.408  0.000

The most stable arrangement is C, and the next structure is 146 meV per atom less stable.

--- A ---
Entry from Alexandria via LeMat-Bulk: a PBEsol-optimized structure of BaCrPt2 (meta-GGA SCAN).

abc: 5.276 5.276 5.276
angles: 131.81 131.81 70.52
Sites, in units of the cell vectors:
Ba  0.000  0.000  0.000
Cr  0.750  0.250  0.500
Pt  0.250  0.750  0.500
Pt  0.500  0.500  0.000

--- B ---
Entry from Alexandria via LeMat-Bulk: a PBEsol-optimized structure of BaCrPt2 (meta-GGA SCAN).

abc: 5.162 5.162 3.077
angles: 90.00 90.00 90.00
Sites, in units of the cell vectors:
Ba  0.000  0.000  0.000
Cr  0.500  0.500  0.000
Pt  0.000  0.500  0.500
Pt  0.500  0.000  0.500

The most stable arrangement is B, and the next structure is 108 meV per atom less stable.

--- A ---
Entry from Alexandria via LeMat-Bulk: a PBEsol-optimized structure of BaCr2Rh (meta-GGA SCAN).

abc: 4.290 4.290 4.421
angles: 90.00 90.00 90.00
Sites, in units of the cell vectors:
Ba  0.000  0.000  0.000
Cr  0.000  0.500  0.500
Cr  0.500  0.000  0.500
Rh  0.500  0.500  0.000

--- B ---
Entry from Alexandria via LeMat-Bulk: a PBEsol-optimized structure of BaCr2Rh (meta-GGA SCAN).

abc: 2.937 4.240 6.474
angles: 90.00 99.14 90.00
Sites, in units of the cell vectors:
Ba  0.000  0.000  0.000
Cr  0.426  0.500  0.632
Cr  0.574  0.500  0.368
Rh  0.000  0.000  0.500

--- C ---
Entry from Alexandria via LeMat-Bulk: a PBEsol-optimized structure of BaCr2Rh (meta-GGA SCAN).

abc: 5.172 5.172 5.172
angles: 129.78 129.78 73.75
Sites, in units of the cell vectors:
Ba  0.000  0.000  0.000
Cr  0.250  0.750  0.500
Cr  0.750  0.250  0.500
Rh  0.500  0.500  0.000

The most stable arrangement is C, and the next structure is 9 meV per atom less stable.

--- A ---
Entry from Alexandria via LeMat-Bulk: a PBEsol-optimized structure of Ba2CrRh (meta-GGA SCAN).

abc: 3.567 3.567 9.244
angles: 90.00 90.00 90.00
Sites, in units of the cell vectors:
Ba  0.000  0.000  0.000
Ba  0.500  0.500  0.415
Cr  0.000  0.000  0.677
Rh  0.500  0.500  0.739

--- B ---
Entry from Alexandria via LeMat-Bulk: a PBEsol-optimized structure of Ba2CrRh (meta-GGA SCAN).

abc: 5.432 5.432 5.432
angles: 60.00 60.00 60.00
Sites, in units of the cell vectors:
Ba  0.250  0.250  0.250
Ba  0.750  0.750  0.750
Cr  0.000  0.000  0.000
Rh  0.500  0.500  0.500

The most stable arrangement is A, and the next structure is 77 meV per atom less stable.

--- A ---
Entry from Alexandria via LeMat-Bulk: a PBEsol-optimized structure of BaCrRu2 (meta-GGA SCAN).

abc: 2.968 4.188 6.549
angles: 90.00 98.13 90.00
Sites, in units of the cell vectors:
Ba  0.000  0.000  0.000
Cr  0.806  0.500  0.380
Ru  0.358  0.000  0.492
Ru  0.406  0.500  0.681

--- B ---
Entry from Alexandria via LeMat-Bulk: a PBEsol-optimized structure of BaCrRu2 (meta-GGA SCAN).

abc: 5.810 5.810 5.810
angles: 150.35 127.65 61.32
Sites, in units of the cell vectors:
Ba  0.000  0.000  0.000
Cr  0.292  0.792  0.500
Ru  0.512  0.512  0.000
Ru  0.718  0.218  0.500

The most stable arrangement is A, and the next structure is 230 meV per atom less stable.

--- A ---
Entry from Alexandria via LeMat-Bulk: a PBEsol-optimized structure of Ba2CrRu (meta-GGA SCAN).

abc: 10.254 10.254 10.254
angles: 20.48 20.48 20.48
Sites, in units of the cell vectors:
Ba  0.239  0.239  0.239
Ba  0.761  0.761  0.761
Cr  0.000  0.000  0.000
Ru  0.500  0.500  0.500

--- B ---
Entry from Alexandria via LeMat-Bulk: a PBEsol-optimized structure of Ba2CrRu (meta-GGA SCAN).

abc: 5.243 5.243 5.243
angles: 60.00 60.00 60.00
Sites, in units of the cell vectors:
Ba  0.000  0.000  0.000
Ba  0.250  0.250  0.250
Cr  0.750  0.750  0.750
Ru  0.500  0.500  0.500

The most stable arrangement is B, and the next structure is 175 meV per atom less stable.